Record 1
Pm9DyTl2 after structural relaxation, computed with PBE.

The structure in POSCAR format:
```
Pm9DyTl2
1.0
4.978 0.000 0.000
0.000 4.978 0.000
0.000 0.000 15.316
Pm Dy Tl
9 1 2
direct
0.000 0.000 0.000
0.000 0.000 0.337
0.000 0.000 0.663
0.000 0.500 0.172
0.000 0.500 0.500
0.000 0.500 0.828
0.500 0.000 0.172
0.500 0.000 0.500
0.500 0.000 0.828
0.500 0.500 0.000
0.500 0.500 0.339
0.500 0.500 0.661
```

## Properties
VASP energy: -4.47 eV per atom
energy relative to the elements: -0.124 eV/atom
symmetry: P4/mmm (123)

Record 2
Sr2PaSe6 after structural relaxation, computed with PBE.

The structure in POSCAR format:
```
Sr2PaSe6
1.0
4.234 0.000 0.000
0.000 7.478 3.843
0.000 -7.478 3.843
Sr Pa Se
2 1 6
direct
0.000 0.184 0.816
0.000 0.816 0.184
0.500 0.571 0.571
0.000 0.286 0.502
0.000 0.502 0.286
0.000 0.820 0.820
0.500 0.206 0.206
0.500 0.499 0.882
0.500 0.882 0.499
```

## Properties
VASP energy: -5.05 eV per atom
E_form (uncorrected): -1.30 eV/atom
symmetry: Amm2 (38)

Record 3
La3DyTm3 after structural relaxation, computed with PBE.

The structure in POSCAR format:
```
La3DyTm3
1.0
3.104 1.792 14.597
-3.104 1.792 14.597
0.000 -3.584 14.597
La Dy Tm
6 2 6
direct
0.130 0.458 0.799
0.201 0.870 0.542
0.458 0.799 0.130
0.542 0.201 0.870
0.799 0.130 0.458
0.870 0.542 0.201
0.333 0.333 0.333
0.667 0.667 0.667
0.063 0.730 0.396
0.270 0.604 0.937
0.396 0.063 0.730
0.604 0.937 0.270
0.730 0.396 0.063
0.937 0.270 0.604
```

## Properties
energy relative to the lowest polymorph listed for this composition: 48.1 meV per atom
VASP energy: -4.50 eV per atom
energy relative to the elements: 0.187 eV/atom
symmetry: R-3 (148)

Record 4
Li3ClO after structural relaxation, computed with PBE.

The structure in POSCAR format:
```
Li3ClO
1.0
2.832 -7.680 0.000
2.832 7.680 0.000
0.000 0.000 4.425
Li Cl O
6 2 2
direct
0.000 0.000 0.000
0.000 0.000 0.500
0.060 0.392 0.250
0.392 0.060 0.750
0.608 0.940 0.250
0.940 0.608 0.750
0.308 0.692 0.750
0.692 0.308 0.250
0.088 0.912 0.750
0.912 0.088 0.250
```

## Properties
energy relative to the lowest polymorph listed for this composition: 193.4 meV per atom
VASP energy: -4.14 eV per atom
E_form (uncorrected): -1.63 eV/atom
symmetry: Cmcm (63)

Record 5
NdLuAgBi after structural relaxation, computed with PBE.

The structure in POSCAR format:
```
NdLuAgBi
1.0
0.000 3.780 3.780
3.780 0.000 3.780
3.780 3.780 0.000
Nd Lu Ag Bi
1 1 1 1
direct
0.000 0.000 0.000
0.500 0.500 0.500
0.750 0.750 0.750
0.250 0.250 0.250
```

## Properties
VASP energy: -4.39 eV per atom
energy relative to the elements: -0.385 eV/atom
symmetry: F-43m (216)

Record 6
In12Sb3Se5 after structural relaxation, computed with PBE.

The structure in POSCAR format:
```
In12Sb3Se5
1.0
-8.814 8.814 8.814
8.814 -8.814 8.814
8.814 8.814 -8.814
In Sb Se
48 12 20
direct
0.054 0.223 0.140
0.054 0.330 0.913
0.083 0.723 0.670
0.083 0.860 0.413
0.087 0.640 0.417
0.087 0.946 0.670
0.140 0.054 0.223
0.140 0.587 0.917
0.170 0.223 0.583
0.170 0.446 0.587
0.223 0.140 0.054
0.223 0.583 0.170
0.277 0.330 0.917
0.277 0.446 0.360
0.330 0.913 0.054
0.330 0.917 0.277
0.360 0.277 0.446
0.360 0.583 0.913
0.413 0.083 0.860
0.413 0.830 0.554
0.417 0.087 0.640
0.417 0.830 0.777
0.446 0.360 0.277
0.446 0.587 0.170
0.554 0.413 0.830
0.554 0.640 0.723
0.583 0.170 0.223
0.583 0.913 0.360
0.587 0.170 0.446
0.587 0.917 0.140
0.640 0.417 0.087
0.640 0.723 0.554
0.670 0.083 0.723
0.670 0.087 0.946
0.723 0.554 0.640
0.723 0.670 0.083
0.777 0.417 0.830
0.777 0.860 0.946
0.830 0.554 0.413
0.830 0.777 0.417
0.860 0.413 0.083
0.860 0.946 0.777
0.913 0.054 0.330
0.913 0.360 0.583
0.917 0.140 0.587
0.917 0.277 0.330
0.946 0.670 0.087
0.946 0.777 0.860
0.125 0.250 0.375
0.125 0.375 0.750
0.250 0.375 0.125
0.250 0.875 0.625
0.375 0.125 0.250
0.375 0.750 0.125
0.625 0.250 0.875
0.625 0.875 0.750
0.750 0.125 0.375
0.750 0.625 0.875
0.875 0.625 0.250
0.875 0.750 0.625
0.000 0.000 0.000
0.000 0.000 0.500
0.000 0.500 0.000
0.000 0.500 0.500
0.125 0.750 0.875
0.125 0.875 0.250
0.250 0.125 0.875
0.250 0.625 0.375
0.375 0.250 0.625
0.375 0.625 0.750
0.500 0.000 0.000
0.500 0.000 0.500
0.500 0.500 0.000
0.500 0.500 0.500
0.625 0.375 0.250
0.625 0.750 0.375
0.750 0.375 0.625
0.750 0.875 0.125
0.875 0.125 0.750
0.875 0.250 0.125
```

## Properties
VASP energy: -3.24 eV per atom
E_form (uncorrected): -0.11 eV/atom
symmetry: Ia-3d (230)